A relaxed CeSnH crystal. Source: Alexandria, functional PBE-GGA.

Summary:
SG: I4mm
Crystal system: tetragonal
Total magnetization, μB per cell: 1.109
Uncorrected energy, eV/atom: -4.7302

a = 3.254 Å, b = 3.254 Å, c = 6.251 Å
α = 105.09°, β = 105.09°, γ = 90.00°
Site moments in Bohr magnetons follow the coordinates.
Positions (direct):
1 Ce 0.723 0.723 0.445  0.89
2 Sn 0.005 0.005 0.009  -0.01
3 H 0.273 0.273 0.546  -0.01

A relaxed Ce3SnH crystal. Source: Alexandria, functional PBE-GGA.

Summary:
SG: Pm-3m
Crystal system: cubic
Total magnetization, μB per cell: 2.799
Uncorrected energy, eV/atom: -5.4895

a = 4.846 Å, b = 4.846 Å, c = 4.846 Å
α = 90.00°, β = 90.00°, γ = 90.00°
Site moments in Bohr magnetons follow the coordinates.
Positions (direct):
1 Ce 0.500 0.000 0.000  0.76
2 Ce 0.000 0.500 0.000  0.76
3 Ce 0.000 0.000 0.500  0.76
4 H 0.000 0.000 0.000  -0.01
5 Sn 0.500 0.500 0.500  -0.03

A relaxed Ce5Sn5H2 crystal. Source: Alexandria, functional PBE-GGA.

Summary:
SG: C2/m
Crystal system: monoclinic
Total magnetization, μB per cell: 4.611
Uncorrected energy, eV/atom: -5.2429

a = 4.520 Å, b = 6.315 Å, c = 11.615 Å
α = 103.73°, β = 90.00°, γ = 110.97°
Site moments in Bohr magnetons follow the coordinates.
Positions (direct):
1 Ce 0.375 0.750 0.174  0.87
2 Ce 0.119 0.239 0.345  0.70
3 Ce 0.881 0.761 0.655  0.70
4 Ce 0.000 0.000 0.000  0.77
5 Ce 0.625 0.250 0.826  0.87
6 Sn 0.169 0.338 0.629  -0.02
7 Sn 0.658 0.317 0.138  -0.03
8 Sn 0.831 0.662 0.371  -0.02
9 Sn 0.500 0.000 0.500  -0.01
10 Sn 0.342 0.683 0.862  -0.03
11 H 0.046 0.092 0.819  -0.01
12 H 0.954 0.908 0.181  -0.01

A relaxed Ce3Sn3H2 crystal. Source: Alexandria, functional PBE-GGA.

Summary:
SG: C2/m
Crystal system: monoclinic
Total magnetization, μB per cell: 2.038
Uncorrected energy, eV/atom: -5.0785

a = 3.646 Å, b = 5.595 Å, c = 8.824 Å
α = 91.23°, β = 78.08°, γ = 90.00°
Site moments in Bohr magnetons follow the coordinates.
Positions (direct):
1 Ce 0.500 0.500 0.000  0.73
2 Ce 0.334 0.861 0.331  0.50
3 Ce 0.666 0.139 0.669  0.50
4 Sn 0.000 0.000 0.000  -0.03
5 Sn 0.153 0.643 0.694  -0.02
6 Sn 0.847 0.357 0.306  -0.02
7 H 0.237 0.122 0.525  0.00
8 H 0.763 0.878 0.475  0.00

A relaxed Ce3Sn2H crystal. Source: Alexandria, functional PBE-GGA.

Summary:
SG: C2/c
Crystal system: monoclinic
Total magnetization, μB per cell: 5.265
Uncorrected energy, eV/atom: -5.2554

a = 6.352 Å, b = 6.152 Å, c = 8.058 Å
α = 98.88°, β = 113.21°, γ = 90.00°
Site moments in Bohr magnetons follow the coordinates.
Positions (direct):
1 Sn 0.800 0.606 0.368  -0.01
2 Sn 0.568 0.106 0.368  -0.01
3 Sn 0.432 0.894 0.632  -0.01
4 Sn 0.200 0.394 0.632  -0.01
5 H 0.973 0.250 0.000  -0.01
6 H 0.027 0.750 0.000  -0.01
7 Ce 0.398 0.750 0.000  0.69
8 Ce 0.755 0.457 0.751  0.75
9 Ce 0.602 0.250 0.000  0.69
10 Ce 0.996 0.957 0.751  0.75
11 Ce 0.004 0.043 0.249  0.75
12 Ce 0.245 0.543 0.249  0.75

A relaxed Ce2SnH3 crystal. Source: Alexandria, functional PBE-GGA.

Summary:
SG: C2/m
Crystal system: monoclinic
Total magnetization, μB per cell: 2.153
Uncorrected energy, eV/atom: -4.8425

a = 4.098 Å, b = 7.966 Å, c = 6.843 Å
α = 113.96°, β = 90.00°, γ = 104.90°
Site moments in Bohr magnetons follow the coordinates.
Positions (direct):
1 H 0.958 0.916 0.624  0.00
2 H 0.591 0.181 0.608  0.00
3 H 0.315 0.629 0.543  0.00
4 H 0.409 0.819 0.392  0.00
5 H 0.042 0.084 0.376  0.00
6 H 0.685 0.371 0.457  0.00
7 Ce 0.517 0.034 0.229  0.50
8 Ce 0.190 0.379 0.649  0.55
9 Ce 0.810 0.621 0.351  0.55
10 Ce 0.483 0.966 0.771  0.50
11 Sn 0.856 0.712 0.922  -0.04
12 Sn 0.144 0.288 0.078  -0.04